1.
Eu2DyAu: relaxed, PBE-GGA.

crystal system: trigonal
M_tot: 15.23 μB per formula unit
mass density: 8.117 g/cm3
D(E_F): 3.890 states/eV/f.u.
VASP energy: -7.16 eV per atom
ΔE to the lowest computed polymorph: 264 meV/atom

Cell lengths 3.7250, 3.7250, 11.4974 Å; angles 80.68, 80.68, 60.00 degrees
Fractional positions:
1 Dy 0.0000 0.0000 0.0000
2 Eu 0.8979 0.8979 0.3064
3 Eu 0.1021 0.1021 0.6936
4 Au 0.5000 0.5000 0.5000

2.
ScCl: relaxed, PBE-GGA.

formation energy from raw total energies: -1.16 eV per atom
crystal system: orthorhombic
M_tot: 0.00 μB per formula unit
mass density: 3.096 g/cm3
D(E_F): 0.254 states/eV/f.u.
VASP energy: -5.25 eV per atom

Cell lengths 5.7301, 6.3816, 9.4343 Å; angles 90.00, 90.00, 90.00 degrees
Fractional positions:
1 Cl 0.0858 0.8793 0.7184
2 Cl 0.9142 0.3793 0.7816
3 Cl 0.0456 0.7653 0.0722
4 Cl 0.4544 0.2347 0.5722
5 Cl 0.9544 0.2653 0.4278
6 Cl 0.5456 0.7347 0.9278
7 Cl 0.4142 0.1207 0.2184
8 Cl 0.5858 0.6207 0.2816
9 Sc 0.6568 0.0279 0.7650
10 Sc 0.8432 0.9721 0.2650
11 Sc 0.1568 0.4721 0.2350
12 Sc 0.3617 0.8596 0.4748
13 Sc 0.8617 0.6404 0.5252
14 Sc 0.3432 0.5279 0.7350
15 Sc 0.6383 0.3596 0.0252
16 Sc 0.1383 0.1404 0.9748

3.
AlBi2Sb: relaxed, PBE-GGA.

formation energy from raw total energies: 0.27 eV per atom
crystal system: tetragonal
M_tot: 0.00 μB per formula unit
mass density: 5.943 g/cm3
D(E_F): 1.675 states/eV/f.u.
VASP energy: -3.63 eV per atom
ΔE to the lowest computed polymorph: 9 meV/atom

Cell lengths 6.7896, 6.7896, 8.3811 Å; angles 66.11, 66.11, 90.00 degrees
Fractional positions:
1 Sb 0.0000 0.0000 0.0000
2 Sb 0.7500 0.2500 0.5000
3 Bi 0.5902 0.1250 0.2500
4 Bi 0.1598 0.6250 0.2500
5 Bi 0.3750 0.4098 0.7500
6 Bi 0.8750 0.8402 0.7500
7 Al 0.5000 0.5000 0.0000
8 Al 0.2500 0.7500 0.5000

4.
CsIn4Pb: relaxed, PBE-GGA.

crystal system: cubic
M_tot: 0.00 μB per formula unit
mass density: 6.732 g/cm3
D(E_F): 2.374 states/eV/f.u.
VASP energy: -2.56 eV per atom
ΔE to the lowest computed polymorph: 105 meV/atom

Cell lengths 6.5333, 6.5333, 6.5333 Å; angles 60.00, 60.00, 60.00 degrees
Fractional positions:
1 In 0.6255 0.6255 0.6255
2 In 0.6255 0.1234 0.6255
3 In 0.1234 0.6255 0.6255
4 In 0.6255 0.6255 0.1234
5 Cs 0.2500 0.2500 0.2500
6 Pb 0.0000 0.0000 0.0000

5.
Sc4CdAg: relaxed, PBE-GGA.

crystal system: trigonal
M_tot: 0.00 μB per formula unit
mass density: 4.327 g/cm3
D(E_F): 8.073 states/eV/f.u.
VASP energy: -4.72 eV per atom
ΔE to the lowest computed polymorph: 300 meV/atom

Cell lengths 4.7669, 4.7689, 8.2709 Å; angles 73.21, 73.25, 60.01 degrees
Fractional positions:
1 Sc 0.6279 0.6280 0.1163
2 Sc 0.8782 0.8789 0.3647
3 Sc 0.1218 0.1211 0.6353
4 Sc 0.3721 0.3720 0.8837
5 Ag 0.0000 0.0000 0.0000
6 Cd 0.5000 0.5000 0.5000

6.
HoAgPd2: relaxed, PBE-GGA.

crystal system: cubic
M_tot: 0.00 μB per formula unit
mass density: 10.823 g/cm3
D(E_F): 2.733 states/eV/f.u.
VASP energy: -5.09 eV per atom
ΔE to the lowest computed polymorph: 70 meV/atom

Cell lengths 4.7232, 4.7232, 4.7232 Å; angles 60.00, 60.00, 60.00 degrees
Fractional positions:
1 Ho 0.0000 0.0000 0.0000
2 Pd 0.7500 0.7500 0.7500
3 Pd 0.2500 0.2500 0.2500
4 Ag 0.5000 0.5000 0.5000